Record 1
Entry from Alexandria: a geometry-optimized Ba2TlO2 structure (PBE).

Cell and atoms, written as extended XYZ:
```
5
Lattice="-0.3293 4.6921 -0.5638 -2.7011 -0.6506 -3.8371 -7.0817 2.0993 1.7047" Properties=species:S:1:pos:R:3 pbc="T T T"
O -5.6490 1.7347 -2.1664
O -4.4631 4.4061 -0.5298
Ba -6.6515 4.0926 -1.8605
Ba -3.4606 2.0482 -0.8357
Tl 0.0000 0.0000 0.0000
```

Values from the calculation:
Its symmetry is I4/mmm, No. 139. As for the uncorrected formation energy: -1.644 eV per atom.

---

Record 2
Entry from Alexandria: a geometry-optimized Ba2TlO structure (PBE).

Cell and atoms, written as extended XYZ:
```
4
Lattice="0.0000 4.0164 4.0164 4.0164 0.0000 4.0164 4.0164 4.0164 0.0000" Properties=species:S:1:pos:R:3 pbc="T T T"
Ba 2.0082 2.0082 2.0082
Ba 6.0246 6.0246 6.0246
O 0.0000 0.0000 0.0000
Tl 4.0164 4.0164 4.0164
```

Values from the calculation:
Its symmetry is Fm-3m, No. 225. The calculation puts the offset from the most stable computed form at 349 kJ/mol of formula units. As for the uncorrected formation energy: -0.464 eV per atom.